Here is a geometry-optimized CsRbTe2 structure from Alexandria. Energies are from PBE.

Unit cell a=4.206 b=4.206 c=38.061 alpha=90.00 beta=90.00 gamma=120.00
Fractional positions:
Cs  0.000  0.000  0.000
Cs  0.333  0.667  0.667
Cs  0.667  0.333  0.333
Rb  0.000  0.000  0.500
Rb  0.333  0.667  0.167
Rb  0.667  0.333  0.833
Te  0.000  0.000  0.411
Te  0.000  0.000  0.589
Te  0.333  0.667  0.078
Te  0.333  0.667  0.255
Te  0.667  0.333  0.745
Te  0.667  0.333  0.922

- Calculated volume: 194 Å³/f.u.
- Total energy: -2.264 eV per atom
- Crystal system: trigonal
- Energy above the lowest structure with this stoichiometry: 628 meV per atom

Here is a geometry-optimized OsRuPt2 structure from Alexandria. Energies are from PBE.

Unit cell a=2.755 b=3.932 c=5.473 alpha=90.00 beta=90.00 gamma=90.00
Fractional positions:
Os  0.000  0.000  0.000
Ru  0.000  0.000  0.500
Pt  0.500  0.500  0.248
Pt  0.500  0.500  0.752

- Calculated volume: 59 Å³/f.u.
- Total energy: -7.995 eV per atom
- Crystal system: orthorhombic
- Energy of formation: 0.152 eV per atom
- Energy above the lowest structure with this stoichiometry: 161 meV per atom

Here is a geometry-optimized AcInTe2 structure from Alexandria. Energies are from PBE.

Unit cell a=5.522 b=5.522 c=4.217 alpha=90.00 beta=90.00 gamma=90.00
Fractional positions:
Ac  0.000  0.000  0.000
In  0.500  0.500  0.000
Te  0.000  0.500  0.500
Te  0.500  0.000  0.500

- Calculated volume: 129 Å³/f.u.
- Total energy: -4.242 eV per atom
- Crystal system: tetragonal
- Energy above the lowest structure with this stoichiometry: 93 meV per atom

Here is a geometry-optimized CePm14Th structure from Alexandria. Energies are from PBE.

Unit cell a=7.268 b=7.268 c=10.330 alpha=90.00 beta=90.00 gamma=90.00
Fractional positions:
Ce  0.000  0.000  0.000
Pm  0.000  0.000  0.500
Pm  0.000  0.500  0.000
Pm  0.000  0.500  0.500
Pm  0.251  0.251  0.247
Pm  0.251  0.251  0.753
Pm  0.251  0.749  0.247
Pm  0.251  0.749  0.753
Pm  0.500  0.000  0.000
Pm  0.500  0.000  0.500
Pm  0.500  0.500  0.500
Pm  0.749  0.251  0.247
Pm  0.749  0.251  0.753
Pm  0.749  0.749  0.247
Pm  0.749  0.749  0.753
Th  0.500  0.500  0.000

- Calculated volume: 546 Å³/f.u.
- Total energy: -4.951 eV per atom
- Crystal system: tetragonal
- Energy of formation: 0.041 eV per atom

Here is a geometry-optimized SiHg2Ir structure from Alexandria. Energies are from PBE.

Unit cell a=6.600 b=3.811 c=7.239 alpha=90.00 beta=108.04 gamma=90.00
Fractional positions:
Si  0.000  0.000  0.000
Si  0.500  0.500  0.000
Hg  0.204  0.000  0.623
Hg  0.267  0.500  0.328
Hg  0.704  0.500  0.623
Hg  0.767  0.000  0.328
Ir  0.135  0.500  0.907
Ir  0.635  0.000  0.907

- Calculated volume: 87 Å³/f.u.
- Total energy: -3.702 eV per atom
- Crystal system: monoclinic

Here is a geometry-optimized AgTe2PW structure from Alexandria. Energies are from PBE.

Unit cell a=5.264 b=5.264 c=5.203 alpha=90.00 beta=90.00 gamma=90.00
Fractional positions:
Ag  0.000  0.000  0.000
Te  0.000  0.500  0.000
Te  0.500  0.000  0.000
P  0.500  0.500  0.500
W  0.000  0.000  0.500

- Calculated volume: 144 Å³/f.u.
- Total energy: -3.608 eV per atom
- Crystal system: tetragonal

Here is a geometry-optimized RbPmSiTe4 structure from Alexandria. Energies are from PBE.

Unit cell a=7.265 b=7.596 c=10.124 alpha=90.00 beta=108.51 gamma=90.00
Fractional positions:
Rb  0.240  0.250  0.058
Rb  0.760  0.750  0.942
Pm  0.232  0.250  0.552
Pm  0.768  0.750  0.448
Si  0.215  0.750  0.328
Si  0.785  0.250  0.672
Te  0.017  0.508  0.712
Te  0.017  0.992  0.712
Te  0.411  0.750  0.164
Te  0.424  0.750  0.579
Te  0.576  0.250  0.421
Te  0.589  0.250  0.836
Te  0.983  0.008  0.288
Te  0.983  0.492  0.288

- Calculated volume: 265 Å³/f.u.
- Total energy: -4.220 eV per atom
- Crystal system: monoclinic

Here is a geometry-optimized K5MgIn6 structure from Alexandria. Energies are from PBE.

Unit cell a=6.710 b=6.710 c=11.338 alpha=95.65 beta=95.65 gamma=120.08
Fractional positions:
K  0.000  0.000  0.000
K  0.166  0.834  0.500
K  0.324  0.676  0.000
K  0.676  0.324  0.000
K  0.834  0.166  0.500
Mg  0.500  0.500  0.500
In  0.146  0.425  0.266
In  0.299  0.299  0.737
In  0.425  0.146  0.266
In  0.575  0.854  0.734
In  0.701  0.701  0.263
In  0.854  0.575  0.734

- Calculated volume: 433 Å³/f.u.
- Total energy: -1.895 eV per atom
- Crystal system: monoclinic
- Energy of formation: 0.064 eV per atom

Here is a geometry-optimized Cs2Ba2Si structure from Alexandria. Energies are from PBE.

Unit cell a=8.983 b=8.983 c=8.021 alpha=90.00 beta=90.00 gamma=90.00
Fractional positions:
Cs  0.188  0.312  0.000
Cs  0.312  0.812  0.000
Cs  0.688  0.188  0.000
Cs  0.812  0.688  0.000
Ba  0.178  0.678  0.500
Ba  0.322  0.178  0.500
Ba  0.678  0.822  0.500
Ba  0.822  0.322  0.500
Si  0.000  0.000  0.500
Si  0.500  0.500  0.500

- Calculated volume: 324 Å³/f.u.
- Total energy: -2.023 eV per atom
- Crystal system: tetragonal

Here is a geometry-optimized ScAgGe structure from Alexandria. Energies are from PBE.

Unit cell a=4.231 b=4.231 c=6.798 alpha=90.00 beta=90.00 gamma=90.00
Fractional positions:
Sc  0.250  0.750  0.000
Sc  0.750  0.250  0.000
Ag  0.250  0.250  0.324
Ag  0.750  0.750  0.676
Ge  0.250  0.250  0.715
Ge  0.750  0.750  0.285

- Calculated volume: 61 Å³/f.u.
- Total energy: -4.704 eV per atom
- Crystal system: tetragonal
- Energy of formation: -0.104 eV per atom

Here is a geometry-optimized MgBe2B structure from Alexandria. Energies are from PBE.

Unit cell a=3.260 b=5.868 c=4.677 alpha=90.00 beta=110.54 gamma=90.00
Fractional positions:
Mg  0.042  0.250  0.085
Mg  0.958  0.750  0.915
Be  0.313  0.072  0.624
Be  0.313  0.428  0.624
Be  0.687  0.572  0.376
Be  0.687  0.928  0.376
B  0.238  0.750  0.474
B  0.762  0.250  0.526

- Calculated volume: 42 Å³/f.u.
- Total energy: -3.912 eV per atom
- Crystal system: monoclinic
- Energy of formation: 0.019 eV per atom
- Energy above the lowest structure with this stoichiometry: 0 meV per atom

Here is a geometry-optimized LaFe2PdCl structure from Alexandria. Energies are from PBE.

Unit cell a=4.783 b=4.783 c=5.279 alpha=90.00 beta=90.00 gamma=90.00
Fractional positions:
La  0.000  0.000  0.000
Fe  0.000  0.500  0.000
Fe  0.500  0.000  0.000
Pd  0.000  0.000  0.500
Cl  0.500  0.500  0.500

- Calculated volume: 121 Å³/f.u.
- Total energy: -4.440 eV per atom
- Crystal system: tetragonal

Here is a geometry-optimized TaFe2As structure from Alexandria. Energies are from PBE.

Unit cell a=3.765 b=3.765 c=3.952 alpha=90.00 beta=90.00 gamma=90.00
Fractional positions:
Ta  0.000  0.000  0.000
Fe  0.000  0.500  0.500
Fe  0.500  0.000  0.500
As  0.500  0.500  0.000

- Calculated volume: 56 Å³/f.u.
- Total energy: -8.396 eV per atom
- Crystal system: tetragonal
- Energy of formation: -0.039 eV per atom

Here is a geometry-optimized TiHgNO2 structure from Alexandria. Energies are from PBE.

Unit cell a=3.843 b=3.843 c=4.245 alpha=90.00 beta=90.00 gamma=90.00
Fractional positions:
Ti  0.000  0.000  0.000
Hg  0.500  0.500  0.500
N  0.000  0.000  0.500
O  0.000  0.500  0.000
O  0.500  0.000  0.000

- Calculated volume: 63 Å³/f.u.
- Total energy: -6.110 eV per atom
- Crystal system: tetragonal